An optimized crystal structure of LiBeFe2, computed with GGA-PBE.

Summary:
energy of formation	0.140	eV per atom
space group	C2/m, No. 12
theoretical density	5.1	g/cm³
total magnetization	5.6	μB per cell

Lattice parameters (Å, degrees): 8.632 2.439 4.162 90.00 107.57 90.00
Positions (direct):
1 Li 0.000 0.000 0.000
2 Li 0.500 0.500 0.000
3 Be 0.000 0.500 0.500
4 Be 0.500 0.000 0.500
5 Fe 0.231 0.000 0.734
6 Fe 0.269 0.500 0.266
7 Fe 0.731 0.500 0.734
8 Fe 0.769 0.000 0.266